{"formula": "Mn2HO3", "functional": "PBE with a Hubbard U", "state": "optimized geometry", "magmom_total_mub_per_fu": 9.000, "e_tot_ev_per_cell": -82.42, "lattice": [[5.549, -1.845, 0.000], [5.549, 1.845, 0.000], [-3.699, 0.000, 6.980]], "species": ["Mn", "Mn", "Mn", "Mn", "H", "H", "O", "O", "O", "O", "O", "O"], "frac_coords": [[0.069, 0.069, 0.214], [0.249, 0.249, 0.834], [0.751, 0.751, 0.166], [0.931, 0.931, 0.786], [0.330, 0.330, 0.478], [0.670, 0.670, 0.522], [0.123, 0.123, 0.965], [0.283, 0.283, 0.334], [0.410, 0.410, 0.728], [0.590, 0.590, 0.272], [0.717, 0.717, 0.666], [0.877, 0.877, 0.035]]}